1.
## P (PBE)

Data for crystalline P at its relaxed geometry.

a = 7.8571 Å, b = 12.2743 Å, c = 12.9892 Å
α = 102.65°, β = 106.33°, γ = 102.82°
With the nearest neighbours (Å) after each atom.
Fractional coordinates of all 42 atoms:
P1 0.0023 0.0761 0.1731  3 P 2.20-2.24
P2 0.0101 0.4565 0.9171  3 P 2.24-2.25
P3 0.0201 0.6109 0.8514  3 P 2.21-2.24
P4 0.0301 0.9830 0.3017  3 P 2.21-2.31
P5 0.0543 0.4772 0.3302  3 P 2.20-2.22
P6 0.0809 0.9188 0.5716  3 P 2.22-2.31
P7 0.1190 0.3354 0.3972  3 P 2.20-2.30
P8 0.1622 0.7816 0.6425  3 P 2.20-2.24
P9 0.2227 0.1513 0.8248  3 P 2.20-2.24
P10 0.2305 0.3347 0.1502  3 P 2.20-2.22
P11 0.2330 0.2371 0.2737  3 P 2.20-2.30
P12 0.2575 0.8771 0.8260  3 P 2.24-2.30
P13 0.2711 0.2702 0.7242  3 P 2.20-2.29
P14 0.2706 0.6783 0.1503  3 P 2.21-2.24
P15 0.3105 0.7318 0.3318  3 P 2.21-2.22
P16 0.3533 0.5800 0.3912  3 P 2.22-2.28
P17 0.3846 0.0086 0.6386  3 P 2.20-2.24
P18 0.3878 0.1753 0.6007  3 P 2.20-2.29
P19 0.4313 0.0533 0.8232  3 P 2.24-2.30
P20 0.4714 0.4842 0.2709  3 P 2.22-2.28
P21 0.4851 0.5881 0.1516  3 P 2.20-2.22
P22 0.5149 0.4119 0.8484  3 P 2.20-2.22
P23 0.5286 0.5158 0.7291  3 P 2.22-2.28
P24 0.5687 0.9467 0.1768  3 P 2.24-2.30
P25 0.6122 0.8247 0.3993  3 P 2.20-2.29
P26 0.6154 0.9914 0.3614  3 P 2.20-2.24
P27 0.6467 0.4200 0.6088  3 P 2.22-2.28
P28 0.6895 0.2682 0.6682  3 P 2.21-2.22
P29 0.7294 0.3217 0.8497  3 P 2.21-2.24
P30 0.7289 0.7298 0.2758  3 P 2.20-2.29
P31 0.7425 0.1229 0.1740  3 P 2.24-2.30
P32 0.7670 0.7629 0.7263  3 P 2.20-2.30
P33 0.7695 0.6653 0.8498  3 P 2.20-2.22
P34 0.7773 0.8487 0.1752  3 P 2.20-2.24
P35 0.8378 0.2184 0.3575  3 P 2.20-2.24
P36 0.8810 0.6646 0.6028  3 P 2.20-2.30
P37 0.9191 0.0812 0.4284  3 P 2.22-2.31
P38 0.9457 0.5228 0.6698  3 P 2.20-2.22
P39 0.9699 0.0170 0.6983  3 P 2.21-2.31
P40 0.9799 0.3891 0.1486  3 P 2.21-2.24
P41 0.9899 0.5435 0.0829  3 P 2.24-2.25
P42 0.9977 0.9239 0.8269  3 P 2.20-2.24

Values from the calculation:
Density: 1.93 g/cm3
Space-group type: P-1 (2)
Energy: -227.215 eV per cell
Energy above the lowest structure with this stoichiometry: 0.000 eV/atom
M_tot: 0.000 μB per formula unit



2.
## P (PBE)

Data for crystalline P at its relaxed geometry.

a = 8.9827 Å, b = 8.9827 Å, c = 8.9827 Å
α = 91.91°, β = 91.91°, γ = 158.97°
With the nearest neighbours (Å) after each atom.
Fractional coordinates of all 8 atoms:
P1 0.0485 0.6904 0.7389  3 P 2.19-2.28
P2 0.1294 0.3523 0.4817  3 P 2.19-2.28
P3 0.3096 0.0485 0.3581  3 P 2.19-2.28
P4 0.3523 0.8706 0.2229  3 P 2.19-2.28
P5 0.6477 0.1294 0.7771  3 P 2.19-2.28
P6 0.6904 0.9515 0.6419  3 P 2.19-2.28
P7 0.8706 0.6477 0.5183  3 P 2.19-2.28
P8 0.9515 0.3096 0.2611  3 P 2.19-2.28

Values from the calculation:
Density: 1.61 g/cm3
Space-group type: I4/m (87)
Energy: -41.857 eV per cell
Energy above the lowest structure with this stoichiometry: 0.178 eV/atom
M_tot: 0.000 μB per formula unit



3.
## P (PBE)

Data for crystalline P at its relaxed geometry.

a = 7.5413 Å, b = 7.5413 Å, c = 5.0760 Å
α = 90.00°, β = 90.00°, γ = 120.00°
With the nearest neighbours (Å) after each atom.
Fractional coordinates of all 12 atoms:
P1 0.0351 0.6599 0.2500  2 P 2.22
P2 0.0426 0.3688 0.2500  2 P 2.22
P3 0.3262 0.9574 0.2500  2 P 2.22
P4 0.3401 0.3752 0.2500  2 P 2.22
P5 0.3688 0.3262 0.7500  2 P 2.22
P6 0.3752 0.0351 0.7500  2 P 2.22
P7 0.6248 0.9649 0.2500  2 P 2.22
P8 0.6312 0.6738 0.2500  2 P 2.22
P9 0.6599 0.6248 0.7500  2 P 2.22
P10 0.6738 0.0426 0.7500  2 P 2.22
P11 0.9574 0.6312 0.7500  2 P 2.22
P12 0.9649 0.3401 0.7500  2 P 2.22

Values from the calculation:
Density: 2.47 g/cm3
Space-group type: P6_3/m (176)
Energy: -61.568 eV per cell
Energy above the lowest structure with this stoichiometry: 0.279 eV/atom
M_tot: 0.000 μB per formula unit



4.
## P (PBE)

Data for crystalline P at its relaxed geometry.

a = 9.2715 Å, b = 9.2531 Å, c = 24.3826 Å
α = 90.00°, β = 104.12°, γ = 90.00°
With the nearest neighbours (Å) after each atom.
Fractional coordinates of all 84 atoms:
P1 0.0012 0.1676 0.4445  3 P 2.23-2.28
P2 0.0012 0.8324 0.9445  3 P 2.23-2.28
P3 0.0439 0.3964 0.0826  3 P 2.21-2.23
P4 0.0439 0.6036 0.5826  3 P 2.21-2.23
P5 0.0454 0.0509 0.6789  3 P 2.21-2.22
P6 0.0454 0.9491 0.1789  3 P 2.21-2.22
P7 0.0526 0.3190 0.2957  3 P 2.20-2.22
P8 0.0526 0.6810 0.7957  3 P 2.20-2.22
P9 0.0766 0.2126 0.8815  3 P 2.21-2.29
P10 0.0766 0.7874 0.3815  3 P 2.21-2.29
P11 0.1406 0.1008 0.3234  3 P 2.21-2.22
P12 0.1406 0.8992 0.8234  3 P 2.21-2.22
P13 0.1450 0.3880 0.1748  3 P 2.21-2.22
P14 0.1450 0.6120 0.6748  3 P 2.21-2.22
P15 0.1705 0.0380 0.1194  3 P 2.22-2.28
P16 0.1705 0.9620 0.6194  3 P 2.22-2.28
P17 0.2104 0.1432 0.4158  3 P 2.21-2.23
P18 0.2104 0.8568 0.9158  3 P 2.21-2.23
P19 0.2140 0.3201 0.8312  3 P 2.21-2.25
P20 0.2140 0.6799 0.3312  3 P 2.21-2.25
P21 0.2445 0.0811 0.9469  3 P 2.21-2.29
P22 0.2445 0.9189 0.4469  3 P 2.21-2.29
P23 0.2489 0.4072 0.0517  3 P 2.21-2.29
P24 0.2489 0.5928 0.5517  3 P 2.21-2.29
P25 0.2975 0.2027 0.1786  3 P 2.21-2.23
P26 0.2975 0.7973 0.6786  3 P 2.21-2.23
P27 0.3109 0.3633 0.5680  3 P 2.21-2.24
P28 0.3109 0.6367 0.0680  3 P 2.21-2.24
P29 0.3136 0.4852 0.8949  3 P 2.21-2.30
P30 0.3136 0.5148 0.3949  3 P 2.21-2.30
P31 0.4116 0.3532 0.6615  3 P 2.24-2.30
P32 0.4116 0.6468 0.1615  3 P 2.24-2.30
P33 0.4127 0.1770 0.8368  3 P 2.24-2.30
P34 0.4127 0.8230 0.3368  3 P 2.24-2.30
P35 0.4214 0.2820 0.1178  3 P 2.21-2.29
P36 0.4214 0.7180 0.6178  3 P 2.21-2.29
P37 0.4403 0.4532 0.3324  3 P 2.21-2.24
P38 0.4403 0.5468 0.8324  3 P 2.21-2.24
P39 0.4617 0.1321 0.9296  3 P 2.21-2.24
P40 0.4617 0.8679 0.4296  3 P 2.21-2.24
P41 0.4823 0.3568 0.9624  3 P 2.22-2.30
P42 0.4823 0.6432 0.4624  3 P 2.22-2.30
P43 0.5177 0.3568 0.5376  3 P 2.22-2.30
P44 0.5177 0.6432 0.0376  3 P 2.22-2.30
P45 0.5383 0.1321 0.5704  3 P 2.21-2.24
P46 0.5383 0.8679 0.0704  3 P 2.21-2.24
P47 0.5597 0.4532 0.1676  3 P 2.21-2.24
P48 0.5597 0.5468 0.6676  3 P 2.21-2.24
P49 0.5786 0.2820 0.3822  3 P 2.21-2.29
P50 0.5786 0.7180 0.8822  3 P 2.21-2.29
P51 0.5873 0.1770 0.6632  3 P 2.24-2.30
P52 0.5873 0.8230 0.1632  3 P 2.24-2.30
P53 0.5884 0.3532 0.8385  3 P 2.24-2.30
P54 0.5884 0.6468 0.3385  3 P 2.24-2.30
P55 0.6864 0.4852 0.6051  3 P 2.21-2.30
P56 0.6864 0.5148 0.1051  3 P 2.21-2.30
P57 0.6891 0.3633 0.9320  3 P 2.21-2.24
P58 0.6891 0.6367 0.4320  3 P 2.21-2.24
P59 0.7025 0.2027 0.3214  3 P 2.21-2.23
P60 0.7025 0.7973 0.8214  3 P 2.21-2.23
P61 0.7511 0.4072 0.4483  3 P 2.21-2.29
P62 0.7511 0.5928 0.9483  3 P 2.21-2.29
P63 0.7555 0.0811 0.5531  3 P 2.21-2.29
P64 0.7555 0.9189 0.0531  3 P 2.21-2.29
P65 0.7860 0.3201 0.6688  3 P 2.21-2.25
P66 0.7860 0.6799 0.1688  3 P 2.21-2.25
P67 0.7896 0.1432 0.0842  3 P 2.21-2.23
P68 0.7896 0.8568 0.5842  3 P 2.21-2.23
P69 0.8295 0.0380 0.3806  3 P 2.22-2.28
P70 0.8295 0.9620 0.8806  3 P 2.22-2.28
P71 0.8550 0.3880 0.3252  3 P 2.21-2.22
P72 0.8550 0.6120 0.8252  3 P 2.21-2.22
P73 0.8594 0.1008 0.1766  3 P 2.21-2.22
P74 0.8594 0.8992 0.6766  3 P 2.21-2.22
P75 0.9234 0.2126 0.6185  3 P 2.21-2.29
P76 0.9234 0.7874 0.1185  3 P 2.21-2.29
P77 0.9474 0.3190 0.2043  3 P 2.20-2.22
P78 0.9474 0.6810 0.7043  3 P 2.20-2.22
P79 0.9546 0.0509 0.8211  3 P 2.21-2.22
P80 0.9546 0.9491 0.3211  3 P 2.21-2.22
P81 0.9561 0.3964 0.4174  3 P 2.21-2.23
P82 0.9561 0.6036 0.9174  3 P 2.21-2.23
P83 0.9988 0.1676 0.0555  3 P 2.23-2.28
P84 0.9988 0.8324 0.5555  3 P 2.23-2.28

Values from the calculation:
Density: 2.13 g/cm3
Space-group type: P2/c (13)
Energy: -454.017 eV per cell
Energy above the lowest structure with this stoichiometry: 0.005 eV/atom
M_tot: 0.000 μB per formula unit



5.
## P (PBE)

Data for crystalline P at its relaxed geometry.

a = 5.7749 Å, b = 5.7749 Å, c = 5.7749 Å
α = 109.47°, β = 109.47°, γ = 109.47°
With the nearest neighbours (Å) after each atom.
Fractional coordinates of all 6 atoms:
P1 0.2500 0.5000 0.7500  4 P 2.36
P2 0.2500 0.7500 0.5000  4 P 2.36
P3 0.5000 0.2500 0.7500  4 P 2.36
P4 0.5000 0.7500 0.2500  4 P 2.36
P5 0.7500 0.2500 0.5000  4 P 2.36
P6 0.7500 0.5000 0.2500  4 P 2.36

Values from the calculation:
Density: 2.08 g/cm3
Space-group type: Im-3m (229)
Energy: -29.036 eV per cell
Energy above the lowest structure with this stoichiometry: 0.571 eV/atom
M_tot: 0.000 μB per formula unit



6.
## P (PBE)

Data for crystalline P at its relaxed geometry.

a = 3.5433 Å, b = 3.5433 Å, c = 3.5433 Å
α = 105.80°, β = 105.80°, γ = 117.10°
With the nearest neighbours (Å) after each atom.
Fractional coordinates of all 2 atoms:
P1 0.3750 0.6250 0.7500  4 P 2.33
P2 0.6250 0.3750 0.2500  4 P 2.33

Values from the calculation:
Density: 3.04 g/cm3
Space-group type: I4_1/amd (141)
Energy: -10.077 eV per cell
Energy above the lowest structure with this stoichiometry: 0.371 eV/atom
M_tot: 0.000 μB per formula unit



7.
## P (PBE)

Data for crystalline P at its relaxed geometry.

a = 6.2547 Å, b = 6.2547 Å, c = 6.2547 Å
α = 98.27°, β = 98.27°, γ = 135.42°
With the nearest neighbours (Å) after each atom.
Fractional coordinates of all 8 atoms:
P1 0.1445 0.3437 0.4882  5 P 2.31-2.56
P2 0.1445 0.6563 0.8008  5 P 2.31-2.56
P3 0.3437 0.1445 0.4882  5 P 2.31-2.56
P4 0.3437 0.8555 0.1992  5 P 2.31-2.56
P5 0.6563 0.1445 0.8008  5 P 2.31-2.56
P6 0.6563 0.8555 0.5118  5 P 2.31-2.56
P7 0.8555 0.3437 0.1992  5 P 2.31-2.56
P8 0.8555 0.6563 0.5118  5 P 2.31-2.56

Values from the calculation:
Density: 2.59 g/cm3
Space-group type: I4/mmm (139)
Energy: -40.970 eV per cell
Energy above the lowest structure with this stoichiometry: 0.289 eV/atom
M_tot: 0.000 μB per formula unit



8.
## P (PBE)

Data for crystalline P at its relaxed geometry.

a = 3.2771 Å, b = 3.2771 Å, c = 5.8531 Å
α = 99.07°, β = 99.07°, γ = 60.04°
With the nearest neighbours (Å) after each atom.
Fractional coordinates of all 2 atoms:
P1 0.1869 0.1869 0.1075  3 P 2.26
P2 0.8131 0.8131 0.8925  3 P 2.26

Values from the calculation:
Density: 1.92 g/cm3
Space-group type: C2/m (12)
Energy: -10.727 eV per cell
Energy above the lowest structure with this stoichiometry: 0.046 eV/atom
M_tot: 0.000 μB per formula unit